--- 1 ---
The following is a DFT calculation (GGA-PBE) of crystalline Zr2URh at its relaxed geometry.

Its symmetry is P4/mmm. The density of states at the Fermi level is 7.84 states/eV per cell.

Cell lengths 3.1304, 5.0179, 5.0179 Å; angles 90.00, 90.00, 90.00 degrees
Closest atoms and distances in Å follow each position.
Fractional coordinates of all 4 atoms:
Zr 0.0000 0.0000 0.5000  4 Rh 2.96, 4 U 2.96, 2 Zr 3.13
Rh 0.5000 0.5000 0.5000  8 Zr 2.96, 2 Rh 3.13
Zr 0.0000 0.5000 0.0000  4 U 2.96, 4 Rh 2.96, 2 Zr 3.13
U 0.5000 0.0000 0.0000  8 Zr 2.96, 2 U 3.13

--- 2 ---
The following is a DFT calculation (GGA-PBE) of crystalline Zr2URh at its relaxed geometry.

Its symmetry is Fm-3m. The density of states at the Fermi level is 7.27 states/eV per cell.

Cell lengths 4.8099, 4.8099, 4.8099 Å; angles 60.00, 60.00, 60.00 degrees
Closest atoms and distances in Å follow each position.
Fractional coordinates of all 4 atoms:
Zr 0.7500 0.7500 0.7500  4 U 2.95, 4 Rh 2.95
Rh 0.0000 0.0000 0.0000  8 Zr 2.95
U 0.5000 0.5000 0.5000  8 Zr 2.95
Zr 0.2500 0.2500 0.2500  4 Rh 2.95, 4 U 2.95

Going by the energies, 1 is most stable and the next is 126 meV/atom up.

--- 1 ---
The following is a DFT calculation (GGA-PBE) of crystalline V2Rh3 at its relaxed geometry.

Its symmetry is Immm. The density of states at the Fermi level is 5.58 states/eV per cell.

Cell lengths 2.7477, 3.6059, 7.3679 Å; angles 104.16, 100.75, 90.00 degrees
Closest atoms and distances in Å follow each position.
Fractional coordinates of all 5 atoms:
Rh 0.8064 0.8064 0.6129  5 V 2.58-2.82, 7 Rh 2.71-2.76
Rh 0.0000 0.0000 0.0000  8 V 2.71, 4 Rh 2.71-2.75
V 0.6054 0.6054 0.2109  9 Rh 2.58-2.82, 2 V 2.75
V 0.3946 0.3946 0.7891  9 Rh 2.58-2.82, 2 V 2.75
Rh 0.1936 0.1936 0.3871  5 V 2.58-2.82, 7 Rh 2.71-2.76

--- 2 ---
The following is a DFT calculation (GGA-PBE) of crystalline V2Rh3 at its relaxed geometry.

Its symmetry is Pnma. The density of states at the Fermi level is 21.00 states/eV per cell.

Cell lengths 4.0063, 8.3414, 8.8391 Å; angles 90.00, 90.00, 90.00 degrees
Closest atoms and distances in Å follow each position.
Fractional coordinates of all 20 atoms:
V 0.7500 0.6432 0.0373  5 Rh 2.42-2.61
Rh 0.2500 0.8641 0.0376  5 V 2.55-2.72, 5 Rh 2.59-2.84
Rh 0.2500 0.6359 0.5376  5 V 2.55-2.72, 5 Rh 2.59-2.84
Rh 0.2500 0.3446 0.6887  4 V 2.42-2.61
V 0.2500 0.4658 0.2980  8 Rh 2.52-2.76
Rh 0.7500 0.3757 0.1482  5 V 2.44-2.59, 1 Rh 2.59
Rh 0.2500 0.6243 0.8518  5 V 2.44-2.59, 1 Rh 2.59
Rh 0.2500 0.8757 0.3518  5 V 2.44-2.59, 1 Rh 2.59
Rh 0.2500 0.1554 0.1887  4 V 2.42-2.61
V 0.2500 0.1432 0.4627  5 Rh 2.42-2.61
V 0.7500 0.8568 0.5373  5 Rh 2.42-2.61
V 0.2500 0.3568 0.9627  5 Rh 2.42-2.61
Rh 0.7500 0.8446 0.8113  4 V 2.42-2.61
Rh 0.7500 0.1359 0.9624  5 V 2.55-2.72, 5 Rh 2.59-2.84
Rh 0.7500 0.1243 0.6482  5 V 2.44-2.59, 1 Rh 2.59
V 0.2500 0.0342 0.7980  8 Rh 2.52-2.76
Rh 0.7500 0.3641 0.4624  5 V 2.55-2.72, 5 Rh 2.59-2.84
V 0.7500 0.9658 0.2020  8 Rh 2.52-2.76
V 0.7500 0.5342 0.7020  8 Rh 2.52-2.76
Rh 0.7500 0.6554 0.3113  4 V 2.42-2.61

Going by the energies, 1 is most stable and the next is 180 meV/atom up.

--- 1 ---
The following is a DFT calculation (GGA-PBE) of crystalline V4Rh at its relaxed geometry.

Its symmetry is C2/m. The density of states at the Fermi level is 4.21 states/eV per cell.

Cell lengths 2.6789, 4.1979, 6.6285 Å; angles 108.45, 106.61, 89.97 degrees
Closest atoms and distances in Å follow each position.
Fractional coordinates of all 5 atoms:
Rh 0.0000 0.0000 0.0000  6 V 2.60-2.61, 2 Rh 2.68
V 0.7838 0.6006 0.2014  6 V 2.50-2.68, 2 Rh 2.60-2.61
V 0.2162 0.3994 0.7986  6 V 2.50-2.68, 2 Rh 2.60-2.61
V 0.3954 0.7951 0.5901  7 V 2.50-2.68, 1 Rh 2.60
V 0.6046 0.2049 0.4099  7 V 2.50-2.68, 1 Rh 2.60

--- 2 ---
The following is a DFT calculation (GGA-PBE) of crystalline V4Rh at its relaxed geometry.

Its symmetry is P2_1/c. The density of states at the Fermi level is 12.03 states/eV per cell.

Cell lengths 4.2443, 6.3855, 5.6616 Å; angles 104.16, 90.00, 90.00 degrees
Closest atoms and distances in Å follow each position.
Fractional coordinates of all 10 atoms:
V 0.7225 0.6735 0.7890  5 V 2.43-2.60, 1 Rh 2.44
V 0.7287 0.3218 0.9442  5 V 2.43-2.60, 1 Rh 2.44
V 0.2225 0.3265 0.7110  5 V 2.43-2.60, 1 Rh 2.44
Rh 0.0000 0.0000 0.0000  4 V 2.44
V 0.2287 0.6782 0.5558  5 V 2.43-2.60, 1 Rh 2.44
V 0.7775 0.6735 0.2890  5 V 2.43-2.60, 1 Rh 2.44
V 0.7713 0.3218 0.4442  5 V 2.43-2.60, 1 Rh 2.44
Rh 0.5000 0.0000 0.5000  4 V 2.44
V 0.2713 0.6782 0.0558  5 V 2.43-2.60, 1 Rh 2.44
V 0.2775 0.3265 0.2110  5 V 2.43-2.60, 1 Rh 2.44

--- 3 ---
The following is a DFT calculation (GGA-PBE) of crystalline V4Rh at its relaxed geometry.

Its symmetry is Pm-3m. The density of states at the Fermi level is 8.38 states/eV per cell.

Cell lengths 4.5367, 4.5367, 4.5367 Å; angles 90.00, 90.00, 90.00 degrees
Closest atoms and distances in Å follow each position.
Fractional coordinates of all 5 atoms:
V 0.5000 0.5000 0.0000  2 Rh 2.27
V 0.0000 0.0000 0.0000  12 V 3.21
V 0.0000 0.5000 0.5000  2 Rh 2.27
V 0.5000 0.0000 0.5000  2 Rh 2.27
Rh 0.5000 0.5000 0.5000  6 V 2.27

Going by the energies, 1 is most stable and the next is 483 meV/atom up.

--- 1 ---
The following is a DFT calculation (GGA-PBE) of crystalline VRh4 at its relaxed geometry.

Its symmetry is Pm-3m. The density of states at the Fermi level is 7.92 states/eV per cell.

Cell lengths 4.4239, 4.4239, 4.4239 Å; angles 90.00, 90.00, 90.00 degrees
Closest atoms and distances in Å follow each position.
Fractional coordinates of all 5 atoms:
Rh 0.0000 0.0000 0.0000  12 Rh 3.13
V 0.5000 0.5000 0.5000  6 Rh 2.21
Rh 0.5000 0.5000 0.0000  2 V 2.21
Rh 0.0000 0.5000 0.5000  2 V 2.21
Rh 0.5000 0.0000 0.5000  2 V 2.21

--- 2 ---
The following is a DFT calculation (GGA-PBE) of crystalline VRh4 at its relaxed geometry.

Its symmetry is I4/mmm. The density of states at the Fermi level is 7.71 states/eV per cell.

Cell lengths 4.8172, 5.0047, 4.8172 Å; angles 118.77, 90.00, 118.77 degrees
Closest atoms and distances in Å follow each position.
Fractional coordinates of all 5 atoms:
Rh 0.2500 0.5000 0.7500  4 Rh 2.49
Rh 0.7500 0.5000 0.2500  4 Rh 2.49
Rh 0.6625 0.3251 0.6625  5 Rh 2.38-2.49, 1 V 2.47
V 0.0000 0.0000 0.0000  2 Rh 2.47
Rh 0.3375 0.6749 0.3375  5 Rh 2.38-2.49, 1 V 2.47

Going by the energies, 2 is most stable and the next is 242 meV/atom up.

--- 1 ---
The following is a DFT calculation (GGA-PBE) of crystalline YVRh2 at its relaxed geometry.

Its symmetry is Fm-3m. The density of states at the Fermi level is 6.25 states/eV per cell.

Cell lengths 4.6024, 4.6024, 4.6024 Å; angles 60.00, 60.00, 60.00 degrees
Closest atoms and distances in Å follow each position.
Fractional coordinates of all 4 atoms:
Y 0.5000 0.5000 0.5000  8 Rh 2.82
V 0.0000 0.0000 0.0000  8 Rh 2.82
Rh 0.7500 0.7500 0.7500  4 Y 2.82, 4 V 2.82
Rh 0.2500 0.2500 0.2500  4 Y 2.82, 4 V 2.82

--- 2 ---
The following is a DFT calculation (GGA-PBE) of crystalline YVRh2 at its relaxed geometry.

Its symmetry is I-42d. The density of states at the Fermi level is 8.51 states/eV per cell.

Cell lengths 7.1276, 7.1276, 5.8209 Å; angles 52.25, 52.25, 90.00 degrees
Closest atoms and distances in Å follow each position.
Fractional coordinates of all 8 atoms:
Rh 0.8750 0.8193 0.7500  2 V 2.37
Rh 0.3750 0.4307 0.7500  2 V 2.37
Y 0.0000 0.0000 0.0000  8 Rh 2.91-3.14, 2 V 2.91
V 0.2500 0.7500 0.5000  4 Rh 2.37
V 0.5000 0.5000 0.0000  4 Rh 2.37
Rh 0.1807 0.6250 0.2500  2 V 2.37
Y 0.7500 0.2500 0.5000  8 Rh 2.91-3.14, 2 V 2.91
Rh 0.5693 0.1250 0.2500  2 V 2.37

Going by the energies, 1 is most stable and the next is 154 meV/atom up.